Entry from Alexandria via LeMat-Bulk: an optimized crystal structure of Tl3Sb (PBE-GGA).

Properties
formation energy without anion corrections = 0.11 eV/f.u.
N(E_F) = 2.0 states/eV/cell
spin magnetization = 0.0 μB per formula unit
ρ = 9.72 g cm⁻³

The structure in POSCAR format:
```
Tl3Sb
1.0
5.621 0.000 0.000
2.810 4.868 0.000
2.810 1.623 4.589
Sb Tl
1 3
Direct
0.000 0.000 0.000 Sb
0.250 0.250 0.250 Tl
0.500 0.500 0.500 Tl
0.750 0.750 0.750 Tl
```

***

Entry from Alexandria via LeMat-Bulk: an optimized crystal structure of TlSb3 (PBE-GGA).

Properties
formation energy without anion corrections = 0.71 eV/f.u.
N(E_F) = 1.9 states/eV/cell
energy above the lowest structure with this stoichiometry = 0.117 eV/atom
spin magnetization = 0.0 μB per formula unit
ρ = 8.22 g cm⁻³

The structure in POSCAR format:
```
TlSb3
1.0
-5.250 4.091 0.197
-1.170 -6.493 -0.902
5.391 1.714 3.514
Sb Tl
3 1
Direct
0.000 0.000 0.000 Sb
0.500 0.000 0.500 Sb
0.500 0.500 0.000 Sb
0.000 0.500 0.500 Tl
```

***

Entry from Alexandria via LeMat-Bulk: an optimized crystal structure of TlSb (PBE-GGA).

Properties
formation energy without anion corrections = 0.46 eV/f.u.
N(E_F) = 2.5 states/eV/cell
spin magnetization = 0.0 μB per formula unit
ρ = 5.56 g cm⁻³

The structure in POSCAR format:
```
TlSb
1.0
-4.414 -2.671 6.582
6.729 0.909 4.882
-2.275 7.872 1.669
Tl Sb
6 6
Direct
0.250 0.000 0.500 Tl
0.750 0.000 0.500 Tl
0.000 0.500 0.250 Tl
0.000 0.500 0.750 Tl
0.500 0.250 0.000 Tl
0.500 0.750 0.000 Tl
0.250 0.500 0.000 Sb
0.750 0.500 0.000 Sb
0.500 0.000 0.250 Sb
0.500 0.000 0.750 Sb
0.000 0.250 0.500 Sb
0.000 0.750 0.500 Sb
```

***

Entry from Alexandria via LeMat-Bulk: an optimized crystal structure of Tl3Sb4 (PBE-GGA).

Properties
formation energy without anion corrections = 2.04 eV/f.u.
N(E_F) = 4.7 states/eV/cell
spin magnetization = 0.0 μB per formula unit
ρ = 8.52 g cm⁻³

The structure in POSCAR format:
```
Tl3Sb4
1.0
1.685 5.598 1.902
-1.940 -0.830 -5.774
-6.156 1.209 1.895
Tl Sb
3 4
Direct
0.000 0.500 0.000 Tl
0.500 0.500 0.000 Tl
0.500 0.000 0.000 Tl
0.000 0.000 0.288 Sb
0.000 0.000 0.712 Sb
0.667 0.333 0.500 Sb
0.333 0.667 0.500 Sb
```

***

Entry from Alexandria via LeMat-Bulk: an optimized crystal structure of TlSb3 (PBE-GGA).

Properties
formation energy without anion corrections = 0.80 eV/f.u.
N(E_F) = 2.6 states/eV/cell
energy above the lowest structure with this stoichiometry = 0.139 eV/atom
spin magnetization = 0.0 μB per formula unit
ρ = 8.22 g cm⁻³

The structure in POSCAR format:
```
TlSb3
1.0
6.462 -0.289 0.000
-2.911 5.776 0.000
0.000 0.000 3.154
Sb Tl
3 1
Direct
0.000 0.500 0.500 Sb
0.500 0.000 0.500 Sb
0.500 0.500 0.000 Sb
0.000 0.000 0.000 Tl
```

***

Entry from Alexandria via LeMat-Bulk: an optimized crystal structure of TlSb (PBE-GGA).

Properties
formation energy without anion corrections = 0.16 eV/f.u.
N(E_F) = 1.9 states/eV/cell
spin magnetization = 0.0 μB per formula unit
ρ = 8.81 g cm⁻³

The structure in POSCAR format:
```
TlSb
1.0
3.169 0.000 0.000
0.000 5.757 0.000
-1.585 0.000 6.737
Tl Sb
2 2
Direct
0.704 0.750 0.408 Tl
0.296 0.250 0.592 Tl
0.452 0.750 0.904 Sb
0.548 0.250 0.096 Sb
```

***

Entry from Alexandria via LeMat-Bulk: an optimized crystal structure of TlSb3 (PBE-GGA).

Properties
formation energy without anion corrections = 0.58 eV/f.u.
N(E_F) = 8.6 states/eV/cell
energy above the lowest structure with this stoichiometry = 0.085 eV/atom
spin magnetization = 0.0 μB per formula unit
ρ = 7.59 g cm⁻³

The structure in POSCAR format:
```
TlSb3
1.0
8.657 0.000 0.000
0.000 7.544 0.000
0.000 0.000 7.635
Sb Tl
12 4
Direct
0.124 0.916 0.750 Sb
0.624 0.584 0.250 Sb
0.376 0.416 0.750 Sb
0.876 0.084 0.250 Sb
0.630 0.273 0.994 Sb
0.130 0.227 0.006 Sb
0.870 0.773 0.506 Sb
0.370 0.727 0.494 Sb
0.370 0.727 0.006 Sb
0.870 0.773 0.994 Sb
0.130 0.227 0.494 Sb
0.630 0.273 0.506 Sb
0.603 0.925 0.750 Tl
0.103 0.575 0.250 Tl
0.897 0.425 0.750 Tl
0.397 0.075 0.250 Tl
```

***

Entry from Alexandria via LeMat-Bulk: an optimized crystal structure of TlSb (PBE-GGA).

Properties
formation energy without anion corrections = 0.13 eV/f.u.
N(E_F) = 2.6 states/eV/cell
spin magnetization = 0.0 μB per formula unit
ρ = 8.78 g cm⁻³

The structure in POSCAR format:
```
TlSb
1.0
6.806 -0.059 0.113
5.927 3.345 0.113
2.499 0.645 8.053
Sb Tl
3 3
Direct
0.992 0.992 0.974 Sb
0.363 0.363 0.276 Sb
0.383 0.383 0.766 Sb
0.696 0.696 0.636 Tl
0.029 0.029 0.433 Tl
0.703 0.703 0.082 Tl
```

***

Entry from Alexandria via LeMat-Bulk: an optimized crystal structure of TlSb5 (PBE-GGA).

Properties
formation energy without anion corrections = 0.72 eV/f.u.
N(E_F) = 2.6 states/eV/cell
energy above the lowest structure with this stoichiometry = 0.000 eV/atom
spin magnetization = 0.0 μB per formula unit
ρ = 7.09 g cm⁻³

The structure in POSCAR format:
```
TlSb5
1.0
-4.114 -4.997 -1.980
-0.482 -5.774 -3.499
0.531 -6.577 4.636
Tl Sb
1 5
Direct
0.280 0.280 0.908 Tl
0.993 0.993 0.055 Sb
0.317 0.317 0.311 Sb
0.683 0.683 0.633 Sb
0.548 0.548 0.300 Sb
0.013 0.013 0.626 Sb
```

***

Entry from Alexandria via LeMat-Bulk: an optimized crystal structure of TlSb (PBE-GGA).

Properties
formation energy without anion corrections = 0.01 eV/f.u.
N(E_F) = 1.5 states/eV/cell
spin magnetization = 0.0 μB per formula unit
ρ = 8.17 g cm⁻³

The structure in POSCAR format:
```
TlSb
1.0
-0.607 -6.692 -0.936
2.935 -5.011 4.431
-4.322 5.827 -0.686
Sb Tl
2 2
Direct
0.469 0.672 0.301 Sb
0.531 0.328 0.699 Sb
0.886 0.111 0.295 Tl
0.114 0.889 0.705 Tl
```

***

Entry from Alexandria via LeMat-Bulk: an optimized crystal structure of Tl3Sb (PBE-GGA).

Properties
formation energy without anion corrections = 0.11 eV/f.u.
N(E_F) = 2.1 states/eV/cell
spin magnetization = 0.0 μB per formula unit
ρ = 10.05 g cm⁻³

The structure in POSCAR format:
```
Tl3Sb
1.0
6.231 0.021 0.000
-2.590 5.667 0.000
0.000 0.000 3.434
Sb Tl
1 3
Direct
0.000 0.000 0.000 Sb
0.000 0.500 0.500 Tl
0.500 0.000 0.500 Tl
0.500 0.500 0.000 Tl
```

***

Entry from Alexandria via LeMat-Bulk: an optimized crystal structure of TlSb (PBE-GGA).

Properties
formation energy without anion corrections = 0.33 eV/f.u.
N(E_F) = 0.8 states/eV/cell
spin magnetization = 0.0 μB per formula unit
ρ = 9.15 g cm⁻³

The structure in POSCAR format:
```
TlSb
1.0
3.898 0.000 0.000
0.000 3.898 0.000
0.000 0.000 3.898
Sb Tl
1 1
Direct
0.500 0.500 0.500 Sb
0.000 0.000 0.000 Tl
```

***

Entry from Alexandria via LeMat-Bulk: an optimized crystal structure of TlSb (PBE-GGA).

Properties
formation energy without anion corrections = 0.02 eV/f.u.
N(E_F) = 5.1 states/eV/cell
spin magnetization = 0.0 μB per formula unit
ρ = 8.20 g cm⁻³

The structure in POSCAR format:
```
TlSb
1.0
10.541 0.000 0.000
0.000 7.448 0.000
0.000 0.000 6.729
Tl Sb
8 8
Direct
0.720 0.431 0.250 Tl
0.720 0.569 0.750 Tl
0.280 0.431 0.250 Tl
0.280 0.569 0.750 Tl
0.220 0.931 0.250 Tl
0.220 0.069 0.750 Tl
0.780 0.931 0.250 Tl
0.780 0.069 0.750 Tl
0.000 0.308 0.031 Sb
0.000 0.692 0.969 Sb
0.000 0.308 0.469 Sb
0.000 0.692 0.531 Sb
0.500 0.808 0.031 Sb
0.500 0.192 0.969 Sb
0.500 0.808 0.469 Sb
0.500 0.192 0.531 Sb
```

***

Entry from Alexandria via LeMat-Bulk: an optimized crystal structure of Tl2Sb3 (PBE-GGA).

Properties
formation energy without anion corrections = 0.76 eV/f.u.
N(E_F) = 3.1 states/eV/cell
energy above the lowest structure with this stoichiometry = 0.075 eV/atom
spin magnetization = 0.0 μB per formula unit
ρ = 7.49 g cm⁻³

The structure in POSCAR format:
```
Tl2Sb3
1.0
2.441 -4.227 0.000
2.441 4.227 0.000
0.000 0.000 8.311
Tl Sb
2 3
Direct
0.667 0.333 0.170 Tl
0.333 0.667 0.830 Tl
0.000 0.000 0.000 Sb
0.667 0.333 0.564 Sb
0.333 0.667 0.436 Sb
```

***

Entry from Alexandria via LeMat-Bulk: an optimized crystal structure of Tl7Sb2 (PBE-GGA).

Properties
formation energy without anion corrections = 0.05 eV/f.u.
N(E_F) = 4.2 states/eV/cell
energy above the lowest structure with this stoichiometry = 0.019 eV/atom
spin magnetization = 0.0 μB per formula unit
ρ = 9.85 g cm⁻³

The structure in POSCAR format:
```
Tl7Sb2
1.0
5.649 0.000 0.000
-2.824 4.892 0.000
0.000 0.000 10.215
Tl Sb
7 2
Direct
0.333 0.667 0.134 Tl
0.667 0.333 0.866 Tl
0.333 0.667 0.499 Tl
0.667 0.333 0.501 Tl
0.000 0.000 0.329 Tl
0.000 0.000 0.671 Tl
0.000 0.000 0.000 Tl
0.333 0.667 0.813 Sb
0.667 0.333 0.187 Sb
```

***

Entry from Alexandria via LeMat-Bulk: an optimized crystal structure of TlSb (PBE-GGA).

Properties
formation energy without anion corrections = 0.27 eV/f.u.
N(E_F) = 1.7 states/eV/cell
spin magnetization = 0.0 μB per formula unit
ρ = 9.18 g cm⁻³

The structure in POSCAR format:
```
TlSb
1.0
-2.119 -2.777 0.265
1.896 0.486 -2.905
8.292 -5.907 4.424
Sb Tl
2 2
Direct
0.000 0.000 0.010 Sb
0.667 0.333 0.240 Sb
0.000 0.000 0.487 Tl
0.667 0.333 0.763 Tl
```

***

Entry from Alexandria via LeMat-Bulk: an optimized crystal structure of TlSb (PBE-GGA).

Properties
formation energy without anion corrections = 0.34 eV/f.u.
N(E_F) = 4.6 states/eV/cell
spin magnetization = 0.0 μB per formula unit
ρ = 9.06 g cm⁻³

The structure in POSCAR format:
```
TlSb
1.0
6.208 0.000 0.000
0.000 6.208 0.000
0.000 0.000 6.208
Tl Sb
4 4
Direct
0.430 0.930 0.570 Tl
0.070 0.070 0.070 Tl
0.570 0.430 0.930 Tl
0.930 0.570 0.430 Tl
0.062 0.562 0.938 Sb
0.438 0.438 0.438 Sb
0.938 0.062 0.562 Sb
0.562 0.938 0.062 Sb
```

***

Entry from Alexandria via LeMat-Bulk: an optimized crystal structure of Tl3Sb2 (PBE-GGA).

Properties
formation energy without anion corrections = 0.30 eV/f.u.
N(E_F) = 4.6 states/eV/cell
energy above the lowest structure with this stoichiometry = 0.032 eV/atom
spin magnetization = 0.0 μB per formula unit
ρ = 9.04 g cm⁻³

The structure in POSCAR format:
```
Tl3Sb2
1.0
-4.880 -3.069 -0.589
-1.402 -4.211 5.056
-7.016 4.950 3.838
Tl Sb
6 4
Direct
0.542 0.937 0.801 Tl
0.280 0.063 0.199 Tl
0.093 0.437 0.699 Tl
0.229 0.563 0.301 Tl
0.927 0.000 0.000 Tl
0.677 0.500 0.500 Tl
0.436 0.442 0.937 Sb
0.815 0.558 0.063 Sb
0.123 0.942 0.563 Sb
0.628 0.058 0.437 Sb
```

***

Entry from Alexandria via LeMat-Bulk: an optimized crystal structure of TlSb (PBE-GGA).

Properties
formation energy without anion corrections = 0.16 eV/f.u.
N(E_F) = 5.2 states/eV/cell
spin magnetization = 0.0 μB per formula unit
ρ = 8.45 g cm⁻³

The structure in POSCAR format:
```
TlSb
1.0
11.632 0.000 0.000
-5.816 10.073 0.000
0.000 0.000 3.284
Tl Sb
6 6
Direct
0.946 0.242 0.250 Tl
0.705 0.946 0.750 Tl
0.758 0.705 0.250 Tl
0.054 0.758 0.750 Tl
0.295 0.054 0.250 Tl
0.242 0.295 0.750 Tl
0.611 0.159 0.250 Sb
0.453 0.611 0.750 Sb
0.841 0.453 0.250 Sb
0.389 0.841 0.750 Sb
0.547 0.389 0.250 Sb
0.159 0.547 0.750 Sb
```

***

Entry from Alexandria via LeMat-Bulk: an optimized crystal structure of Tl7Sb5 (PBE-GGA).

Properties
formation energy without anion corrections = 0.28 eV/f.u.
N(E_F) = 5.3 states/eV/cell
spin magnetization = 0.0 μB per formula unit
ρ = 8.89 g cm⁻³

The structure in POSCAR format:
```
Tl7Sb5
1.0
-5.068 5.021 3.311
-3.933 -4.230 4.287
3.854 2.960 5.304
Tl Sb
7 5
Direct
0.369 0.013 0.490 Tl
0.721 0.670 0.146 Tl
0.369 0.490 0.013 Tl
0.721 0.146 0.670 Tl
0.428 0.474 0.474 Tl
0.046 0.778 0.778 Tl
0.992 0.393 0.393 Tl
0.616 0.724 0.724 Sb
0.058 0.275 0.873 Sb
0.058 0.873 0.275 Sb
0.767 0.138 0.138 Sb
0.342 0.027 0.027 Sb
```

***

Entry from Alexandria via LeMat-Bulk: an optimized crystal structure of TlSb (PBE-GGA).

Properties
formation energy without anion corrections = 0.46 eV/f.u.
N(E_F) = 1.2 states/eV/cell
spin magnetization = 0.0 μB per formula unit
ρ = 5.81 g cm⁻³

The structure in POSCAR format:
```
TlSb
1.0
12.534 0.000 0.000
0.000 12.534 0.000
0.000 0.000 4.744
Tl Sb
8 8
Direct
0.307 0.893 0.000 Tl
0.693 0.107 0.000 Tl
0.107 0.307 0.000 Tl
0.893 0.693 0.000 Tl
0.807 0.393 0.500 Tl
0.193 0.607 0.500 Tl
0.607 0.807 0.500 Tl
0.393 0.193 0.500 Tl
0.273 0.121 0.000 Sb
0.727 0.879 0.000 Sb
0.879 0.273 0.000 Sb
0.121 0.727 0.000 Sb
0.773 0.621 0.500 Sb
0.227 0.379 0.500 Sb
0.379 0.773 0.500 Sb
0.621 0.227 0.500 Sb
```

***

Entry from Alexandria via LeMat-Bulk: an optimized crystal structure of Tl5Sb4 (PBE-GGA).

Properties
formation energy without anion corrections = 0.60 eV/f.u.
N(E_F) = 8.5 states/eV/cell
energy above the lowest structure with this stoichiometry = 0.041 eV/atom
spin magnetization = 0.0 μB per formula unit
ρ = 9.14 g cm⁻³

The structure in POSCAR format:
```
Tl5Sb4
1.0
-2.726 -4.102 8.191
-5.348 -1.002 -7.858
3.541 -5.711 -1.682
Sb Tl
8 10
Direct
0.000 0.000 0.000 Sb
0.000 0.000 0.500 Sb
0.000 0.284 0.250 Sb
0.716 0.716 0.250 Sb
0.284 0.000 0.250 Sb
0.000 0.716 0.750 Sb
0.284 0.284 0.750 Sb
0.716 0.000 0.750 Sb
0.000 0.635 0.250 Tl
0.365 0.365 0.250 Tl
0.635 0.000 0.250 Tl
0.000 0.365 0.750 Tl
0.635 0.635 0.750 Tl
0.365 0.000 0.750 Tl
0.667 0.333 0.000 Tl
0.333 0.667 0.500 Tl
0.333 0.667 0.000 Tl
0.667 0.333 0.500 Tl
```

***

Entry from Alexandria via LeMat-Bulk: an optimized crystal structure of Tm5Tl2Sb2 (PBE-GGA).

Properties
formation energy without anion corrections = -5.90 eV/f.u.
N(E_F) = 12.6 states/eV/cell
spin magnetization = 0.0 μB per formula unit
ρ = 9.99 g cm⁻³

The structure in POSCAR format:
```
Tm5Tl2Sb2
1.0
8.026 0.000 0.000
0.000 7.145 -3.673
0.000 -0.045 8.698
Tm Tl Sb
10 4 4
Direct
0.000 0.000 0.000 Tm
0.500 0.500 0.000 Tm
0.836 0.805 0.275 Tm
0.164 0.470 0.275 Tm
0.336 0.970 0.275 Tm
0.664 0.305 0.275 Tm
0.164 0.195 0.725 Tm
0.836 0.530 0.725 Tm
0.664 0.030 0.725 Tm
0.336 0.695 0.725 Tm
0.633 0.865 0.000 Tl
0.367 0.135 0.000 Tl
0.133 0.635 0.000 Tl
0.867 0.365 0.000 Tl
0.000 0.203 0.406 Sb
0.500 0.703 0.406 Sb
0.000 0.797 0.594 Sb
0.500 0.297 0.594 Sb
```

***

Entry from Alexandria via LeMat-Bulk: an optimized crystal structure of Tm8TlSb2 (PBE-GGA).

Properties
formation energy without anion corrections = -3.80 eV/f.u.
N(E_F) = 12.1 states/eV/cell
spin magnetization = 0.0 μB per formula unit
ρ = 9.47 g cm⁻³

The structure in POSCAR format:
```
Tm8TlSb2
1.0
4.909 0.000 0.000
0.000 6.902 0.428
-2.455 -2.412 9.167
Tm Tl Sb
8 1 2
Direct
0.406 0.513 0.813 Tm
0.661 0.020 0.323 Tm
0.785 0.655 0.570 Tm
0.983 0.246 0.966 Tm
0.215 0.345 0.430 Tm
0.339 0.980 0.677 Tm
0.594 0.487 0.187 Tm
0.017 0.754 0.034 Tm
0.500 0.000 0.000 Tl
0.820 0.230 0.640 Sb
0.180 0.770 0.360 Sb
```